(1)
# Mn2CuOs

Mn2CuOs after structural relaxation (PBE-GGA, Alexandria via LeMat-Bulk).

SG	I-4m2
E_form	0.14	eV per atom
uncorrected energy	-8.28	eV/atom

a = 4.542 Å, b = 4.542 Å, c = 4.542 Å
α = 131.61°, β = 131.61°, γ = 70.84°
Last column: magnetic moment on the atom in μB.
Fractional positions:
Cu1 0.750 0.250 0.500  0.07
Mn1 0.000 0.000 0.000  2.95
Mn2 0.250 0.750 0.500  -2.54
Os1 0.500 0.500 0.000  0.27

(2)
# YCrNi4

YCrNi4 after structural relaxation (PBE-GGA, Alexandria via LeMat-Bulk).

SG	F-43m
E_form	-0.16	eV per atom
uncorrected energy	-6.70	eV/atom

a = 4.914 Å, b = 4.914 Å, c = 4.914 Å
α = 60.00°, β = 60.00°, γ = 60.00°
Last column: magnetic moment on the atom in μB.
Fractional positions:
Y1 0.750 0.750 0.750  0.04
Cr1 0.000 0.000 0.000  3.43
Ni1 0.878 0.374 0.374  0.38
Ni2 0.374 0.374 0.878  0.38
Ni3 0.374 0.878 0.374  0.38
Ni4 0.374 0.374 0.374  0.38

(3)
# ScCrCu2Hg

ScCrCu2Hg after structural relaxation (PBE-GGA, Alexandria via LeMat-Bulk).

SG	P4/mmm
E_form	1.20	eV per atom
uncorrected energy	-3.69	eV/atom

a = 4.784 Å, b = 4.847 Å, c = 4.784 Å
α = 90.00°, β = 90.00°, γ = 90.00°
Last column: magnetic moment on the atom in μB.
Fractional positions:
Sc1 0.000 0.000 0.000  -0.08
Cr1 0.000 0.500 0.000  3.38
Hg1 0.500 0.500 0.500  -0.02
Cu1 0.000 0.000 0.500  0.01
Cu2 0.500 0.000 0.000  0.00

(4)
# CdSiBr2

CdSiBr2 after structural relaxation (PBE-GGA, Alexandria via LeMat-Bulk).

polymorph energy (0 for the lowest one)	103	kJ/mol of formula units
raw formation energy	0.10	eV/atom
SG	Imm2
uncorrected energy	-2.32	eV/atom

a = 6.139 Å, b = 6.139 Å, c = 6.139 Å
α = 145.83°, β = 125.57°, γ = 65.85°
Fractional positions:
Br1 0.953 0.953 0.000
Br2 0.265 0.765 0.500
Cd1 0.528 0.528 0.000
Si1 0.754 0.254 0.500